Entry 1:
VASP calculation (PBE-GGA) on crystalline BaSb4As at its relaxed geometry.

Computed properties:
- E_tot (eV per cell) = -94.0
- magnetization (Bohr magnetons per cell) = 0.0
- ρ (Mg/m³) = 6.449

Lattice parameters (Å, degrees): 8.9636 8.9636 8.9636 90.00 90.00 90.00
With the nearest neighbours (Å) after each atom.
Space group F-43m (No. 216)
Asymmetric unit:
Ba1 0.0000 0.0000 0.0000 [4 per cell]  12 Sb 3.72, 4 As 3.88
Sb1 0.1234 0.1234 0.6234 [16 per cell]  6 Sb 3.13-3.21
As1 0.2500 0.2500 0.2500 [4 per cell]  12 Sb 3.71, 4 Ba 3.88

Entry 2:
VASP calculation (PBE-GGA) on crystalline Ba2SbAs2 at its relaxed geometry.

Computed properties:
- E_tot (eV per cell) = -41.7
- magnetization (Bohr magnetons per cell) = 0.0
- energy relative to the lowest polymorph listed for this composition (meV per atom) = 116
- ρ (Mg/m³) = 5.511

Lattice parameters (Å, degrees): 4.0746 4.0746 19.8297 90.00 90.00 90.00
With the nearest neighbours (Å) after each atom.
Space group I4/mmm (No. 139)
Asymmetric unit:
Ba1 0.0000 0.0000 0.1141 [4 per cell]  4 As 3.38, 4 Sb 3.66
Sb1 0.0000 0.0000 0.5000 [2 per cell]  8 Ba 3.66, 4 Sb 4.07
As1 0.0000 0.5000 0.2500 [4 per cell]  4 As 2.88

Entry 3:
VASP calculation (PBE-GGA) on crystalline BaSbAs2 at its relaxed geometry.

Computed properties:
- E_tot (eV per cell) = -32.8
- magnetization (Bohr magnetons per cell) = 0.0
- ρ (Mg/m³) = 6.036

Lattice parameters (Å, degrees): 5.5035 6.1079 6.6930 90.00 90.00 90.00
With the nearest neighbours (Å) after each atom.
Space group Cmmm (No. 65)
Asymmetric unit:
Ba1 0.0000 0.0000 0.0000 [2 per cell]  2 Sb 3.35, 8 As 3.44-3.68
Sb1 0.0000 0.0000 0.5000 [2 per cell]  8 As 3.04-3.31, 2 Ba 3.35
As1 0.0000 0.5000 0.3078 [4 per cell]  1 As 2.57

Entry 4:
VASP calculation (PBE-GGA) on crystalline BaSb2As at its relaxed geometry.

Computed properties:
- E_tot (eV per cell) = -16.2
- magnetization (Bohr magnetons per cell) = 0.0
- ρ (Mg/m³) = 6.449

Lattice parameters (Å, degrees): 4.7060 4.7060 5.2988 90.00 90.00 90.00
With the nearest neighbours (Å) after each atom.
Space group P4/mmm (No. 123)
Asymmetric unit:
Ba1 0.0000 0.0000 0.0000 [1 per cell]  4 As 3.33, 8 Sb 3.54
Sb1 0.0000 0.5000 0.5000 [2 per cell]  4 Sb 3.33, 4 Ba 3.54, 4 As 3.54
As1 0.5000 0.5000 0.0000 [1 per cell]  4 Ba 3.33, 8 Sb 3.54

Entry 5:
VASP calculation (PBE-GGA) on crystalline BaSb3As at its relaxed geometry.

Computed properties:
- E_tot (eV per cell) = -19.3
- magnetization (Bohr magnetons per cell) = 0.0
- energy relative to the lowest polymorph listed for this composition (meV per atom) = 0
- ρ (Mg/m³) = 5.680

Lattice parameters (Å, degrees): 5.5269 5.5269 5.5269 90.00 90.00 90.00
With the nearest neighbours (Å) after each atom.
Space group Pm-3m (No. 221)
Asymmetric unit:
Ba1 0.0000 0.0000 0.0000 [1 per cell]  12 Sb 3.91
Sb1 0.0000 0.5000 0.5000 [3 per cell]  2 As 2.76
As1 0.5000 0.5000 0.5000 [1 per cell]  6 Sb 2.76

Entry 6:
VASP calculation (PBE-GGA) on crystalline Ba2SbAs2 at its relaxed geometry.

Computed properties:
- E_tot (eV per cell) = -85.4
- magnetization (Bohr magnetons per cell) = 0.0
- energy relative to the lowest polymorph listed for this composition (meV per atom) = 16
- ρ (Mg/m³) = 5.334

Lattice parameters (Å, degrees): 12.7323 4.7469 12.0974 90.00 111.52 90.00
With the nearest neighbours (Å) after each atom.
Space group C2/m (No. 12)
Asymmetric unit:
Ba1 0.0919 0.0000 0.4100 [4 per cell]  3 As 3.27-3.45, 2 Sb 3.50
Ba2 0.1956 0.5000 0.1417 [4 per cell]  7 As 3.48-3.80, 3 Sb 3.68-3.71
Sb1 0.0685 0.5000 0.7950 [4 per cell]  3 As 2.71-2.92
As1 0.0538 0.0000 0.9291 [4 per cell]  1 As 2.56
As2 0.1691 0.5000 0.6324 [4 per cell]  1 Sb 2.71